Entry 1:
# KIn2NiCl6, optimized geometry, DFT PBE-GGA
data_KIn2NiCl6
_cell_length_a 10.344
_cell_length_b 10.344
_cell_length_c 10.344
_cell_angle_alpha 90.00
_cell_angle_beta 90.00
_cell_angle_gamma 90.00
_symmetry_space_group_name_H-M 'F m -3 m'
_symmetry_Int_Tables_number 225
_symmetry_space_group_name_Hall '-F 4 2 3'
loop_
_atom_site_label
_atom_site_type_symbol
_atom_site_fract_x
_atom_site_fract_y
_atom_site_fract_z
K1 K 0.000 0.000 0.000
In1 In 0.250 0.250 0.250
Ni1 Ni 0.000 0.000 0.500
Cl1 Cl 0.000 0.000 0.279
# - E_tot: -125.805 eV for the cell shown
# - M_tot: 3.99 μB per cell

***

Entry 2:
# NdErOs, optimized geometry, DFT PBE-GGA
data_NdErOs
_cell_length_a 6.717
_cell_length_b 6.717
_cell_length_c 6.717
_cell_angle_alpha 90.00
_cell_angle_beta 90.00
_cell_angle_gamma 90.00
_symmetry_space_group_name_H-M 'F -4 3 m'
_symmetry_Int_Tables_number 216
_symmetry_space_group_name_Hall 'F -4 2 3'
loop_
_atom_site_label
_atom_site_type_symbol
_atom_site_fract_x
_atom_site_fract_y
_atom_site_fract_z
Nd1 Nd 0.000 0.000 0.000
Er1 Er 0.250 0.250 0.250
Os1 Os 0.000 0.000 0.500
# - Energy relative to the lowest polymorph listed for this composition: 0 meV per atom
# - Energy of formation: 681 meV per atom
# - M_tot: 0.00 μB per cell

***

Entry 3:
# Ba2HgGe2Au, optimized geometry, DFT PBE-GGA
data_Ba2HgGe2Au
_cell_length_a 4.6151
_cell_length_b 4.6151
_cell_length_c 9.8490
_cell_angle_alpha 90.00
_cell_angle_beta 90.00
_cell_angle_gamma 120.00
_symmetry_space_group_name_H-M 'P -6 m 2'
_symmetry_Int_Tables_number 187
_symmetry_space_group_name_Hall 'P -6 2'
loop_
_atom_site_label
_atom_site_type_symbol
_atom_site_fract_x
_atom_site_fract_y
_atom_site_fract_z
Ba1 Ba 0.0000 0.0000 0.2385
Hg1 Hg 0.3333 0.6667 0.5000
Ge1 Ge 0.3333 0.6667 0.0000
Ge2 Ge 0.6667 0.3333 0.5000
Au1 Au 0.6667 0.3333 0.0000
# - E_tot: -20.105 eV for the cell shown